## KHgN (PBE)

Data for a relaxed KHgN crystal.

Uncorrected formation energy, eV per atom: 0.45
V, Å³/cell: 154.0
Density of states at the Fermi level, states/eV/f.u.: 0.30

Structure (POSCAR):
```
KHgN
1.0
5.242 -0.938 -4.871
-1.365 7.522 4.405
-12.101 7.300 17.493
N K Hg
2 2 2
direct
0.627 0.732 0.549 N
0.373 0.268 0.451 N
0.140 0.239 0.050 K
0.860 0.761 0.950 K
0.641 0.766 0.042 Hg
0.359 0.234 0.958 Hg
```